Record 1
DFT (PBE) results for a geometry-optimized Li2SiPb structure.

Lattice parameters (Å, degrees): 6.651 6.651 6.651 90.00 90.00 90.00
Space group Fm-3m (No. 225)
One atom of each set of equivalent atoms:
Li1 0.250 0.250 0.250 [8 per cell]
Si1 0.000 0.000 0.000 [4 per cell]
Pb1 0.000 0.000 0.500 [4 per cell]

Formation energy from raw total energies (eV/atom): -0.0691
Relative energy among the computed polymorphs (meV/atom): 14



Record 2
DFT (PBE) results for a geometry-optimized Ce3B2MoN6 structure.

Lattice parameters (Å, degrees): 5.3659 5.3659 6.2405 90.00 90.00 120.00
Space group P-3m1 (No. 164)
One atom of each set of equivalent atoms:
Ce1 0.0000 0.0000 0.0000 [1 per cell]
Ce2 0.3333 0.6667 0.6579 [2 per cell]
B1 0.3333 0.6667 0.2530 [2 per cell]
Mo1 0.0000 0.0000 0.5000 [1 per cell]
N1 0.1776 0.3553 0.2819 [6 per cell]

Formation energy from raw total energies (eV/atom): -1.0026



DOS(E_F) for every record listed, in sequence, given in states/eV per atom: 0.02; 1.10.
Total moment for every record listed, in sequence, given in μB per cell: 0.00; 1.16.
Raw total energy for every record listed, in sequence, given in eV per atom: -3.3088; -8.6642.